Entry from the Alexandria database: ScPaNi14 after structural relaxation (PBE).

Geometry as CIF:
```
data_ScPaNi14
_chemical_formula_sum 'Sc1 Pa1 Ni14'
_cell_length_a 5.2209
_cell_length_b 5.2209
_cell_length_c 7.1579
_cell_angle_alpha 90.00
_cell_angle_beta 90.00
_cell_angle_gamma 90.00
_symmetry_space_group_name_H-M 'P 4/m m m'
_symmetry_Int_Tables_number 123
_symmetry_space_group_name_Hall '-P 4 2'
loop_
_atom_site_label
_atom_site_type_symbol
_atom_site_fract_x
_atom_site_fract_y
_atom_site_fract_z
_atom_site_occupancy
Sc1 Sc 0.0000 0.0000 0.0000 1
Pa1 Pa 0.5000 0.5000 0.0000 1
Ni1 Ni 0.0000 0.0000 0.5000 1
Ni2 Ni 0.0000 0.5000 0.0000 1
Ni3 Ni 0.0000 0.5000 0.5000 1
Ni4 Ni 0.2491 0.2491 0.2675 1
Ni5 Ni 0.5000 0.5000 0.5000 1
```

Summary:
ΔH_f (0 K)   -0.19 eV/atom